Dy2PaRhN4 | PBE | relaxed

## Properties
The formation energy without anion corrections is -1.151 eV per atom.

CIF file:
```
data_Dy2PaRhN4
_cell_length_a 3.379
_cell_length_b 11.492
_cell_length_c 11.607
_cell_angle_alpha 90.00
_cell_angle_beta 90.00
_cell_angle_gamma 90.00
_space_group_name_H-M_alt 'C m c m'
_space_group_IT_number 63
_space_group_name_Hall '-C 2c 2'
loop_
_atom_site_label
_atom_site_type_symbol
_atom_site_fract_x
_atom_site_fract_y
_atom_site_fract_z
Dy1 Dy 0.000 0.128 0.053
Pa1 Pa 0.000 0.384 0.250
Rh1 Rh 0.000 0.356 0.750
N1 N 0.000 0.030 0.250
N2 N 0.000 0.213 0.632
N3 N 0.000 0.500 0.000
```